Record 1
DFT (PBE-GGA) results for a relaxed LiLa2Hg2 crystal.

Calculated values
Space-group type: I4/mmm
N(E_F): 4.77 states/eV/cell
E: -2.529 eV per atom
Energy of formation: -55 meV/atom
ρ: 6.96 Mg/m³

Cell: 4.751 4.751 7.993 Å, 72.71 72.71 90.00°
Fractional coordinates of all 5 atoms:
1 Li 0.000 0.000 0.000
2 La 0.250 0.750 0.500
3 La 0.750 0.250 0.500
4 Hg 0.405 0.405 0.191
5 Hg 0.595 0.595 0.809


Record 2
DFT (PBE-GGA) results for a relaxed LiLa4Hg3 crystal.

Calculated values
Space-group type: I4/mmm
N(E_F): 8.47 states/eV/cell
E: -3.186 eV per atom
Energy of formation: -369 meV/atom
ρ: 8.15 Mg/m³

Cell: 5.527 5.527 8.697 Å, 108.50 108.53 90.00°
Fractional coordinates of all 8 atoms:
1 La 0.626 0.626 0.252
2 Hg 0.748 0.248 0.496
3 La 0.874 0.874 0.748
4 Hg 0.000 0.500 0.000
5 Hg 0.252 0.752 0.504
6 La 0.374 0.374 0.748
7 La 0.126 0.126 0.252
8 Li 0.500 0.000 0.000


Record 3
DFT (PBE-GGA) results for a relaxed Li2La3Hg5 crystal.

Calculated values
Space-group type: P4/mbm
N(E_F): 16.81 states/eV/cell
E: -2.451 eV per atom
Energy of formation: -439 meV/atom
ρ: 9.42 Mg/m³

Cell: 4.001 11.236 11.236 Å, 90.00 90.00 90.00°
Fractional coordinates of all 20 atoms:
1 Hg 0.500 0.935 0.219
2 Hg 0.500 0.219 0.065
3 Li 0.000 0.385 0.115
4 La 0.000 0.500 0.500
5 La 0.000 0.821 0.679
6 Li 0.000 0.885 0.385
7 Hg 0.500 0.000 0.500
8 Hg 0.500 0.565 0.719
9 Hg 0.500 0.781 0.935
10 Hg 0.500 0.435 0.281
11 Hg 0.500 0.065 0.781
12 La 0.000 0.321 0.821
13 Hg 0.500 0.281 0.565
14 La 0.000 0.000 0.000
15 Li 0.000 0.615 0.885
16 La 0.000 0.179 0.321
17 Hg 0.500 0.719 0.435
18 Li 0.000 0.115 0.615
19 Hg 0.500 0.500 0.000
20 La 0.000 0.679 0.179


Record 4
DFT (PBE-GGA) results for a relaxed Li5LaHg2 crystal.

Calculated values
Space-group type: C2/m
N(E_F): 5.19 states/eV/cell
E: -2.115 eV per atom
Energy of formation: -228 meV/atom
ρ: 5.25 Mg/m³

Cell: 4.167 7.004 7.004 Å, 73.62 72.56 72.56°
Fractional coordinates of all 8 atoms:
1 Li 0.000 0.500 0.500
2 La 0.000 0.000 0.000
3 Li 0.346 0.840 0.470
4 Li 0.346 0.470 0.840
5 Li 0.654 0.530 0.160
6 Li 0.654 0.160 0.530
7 Hg 0.260 0.239 0.239
8 Hg 0.740 0.761 0.761


Record 5
DFT (PBE-GGA) results for a relaxed Li3La2Hg3 crystal.

Calculated values
Space-group type: P6_3/mcm
N(E_F): 12.84 states/eV/cell
E: -2.325 eV per atom
Energy of formation: -263 meV/atom
ρ: 6.74 Mg/m³

Cell: 6.711 8.735 8.735 Å, 60.00 90.00 90.00°
Fractional coordinates of all 16 atoms:
1 Hg 0.750 0.000 0.641
2 La 0.000 0.667 0.667
3 La 0.500 0.333 0.333
4 Li 0.250 0.000 0.738
5 Hg 0.250 0.000 0.359
6 Li 0.250 0.262 0.000
7 Hg 0.250 0.359 0.641
8 Li 0.250 0.738 0.262
9 La 0.000 0.333 0.333
10 Hg 0.750 0.359 0.000
11 Hg 0.750 0.641 0.359
12 Hg 0.250 0.641 0.000
13 Li 0.750 0.738 0.000
14 La 0.500 0.667 0.667
15 Li 0.750 0.000 0.262
16 Li 0.750 0.262 0.738


Record 6
DFT (PBE-GGA) results for a relaxed Li2LaHg crystal.

Calculated values
Space-group type: Pmmm
N(E_F): 3.74 states/eV/cell
E: -2.378 eV per atom
Energy of formation: -114 meV/atom
ρ: 5.62 Mg/m³

Cell: 3.659 5.260 5.426 Å, 90.00 90.00 90.00°
Fractional coordinates of all 4 atoms:
1 Hg 0.500 0.000 0.500
2 Li 0.500 0.500 0.000
3 La 0.000 0.500 0.500
4 Li 0.000 0.000 0.000